Tb2Pr7Dy | PBE-GGA | optimized geometry

Cell: 10.477 10.477 3.544 Å, 90.00 90.00 108.69°
Element x y z (fractional)
Tb 0.166 0.834 0.000
Tb 0.834 0.166 0.000
Pr 0.126 0.383 0.000
Pr 0.321 0.679 0.500
Pr 0.383 0.126 0.000
Pr 0.500 0.500 0.000
Pr 0.617 0.874 0.000
Pr 0.679 0.321 0.500
Pr 0.874 0.617 0.000
Dy 0.000 0.000 0.500

Computed properties:
Relative energy among the computed polymorphs: 0.0 meV/atom
Magnetization: 0.0 μB/f.u.
Formation energy: 365 meV per atom